Model P:
# Pm5Pr2Dy2 | Alexandria | PBE-GGA | relaxed
# Volume: 34.5 Å³/atom
data_Pm5Pr2Dy2
_chemical_formula_sum 'Pm20 Pr8 Dy8'
_cell_length_a 15.040
_cell_length_b 12.010
_cell_length_c 6.868
_cell_angle_alpha 90.00
_cell_angle_beta 90.00
_cell_angle_gamma 90.00
_space_group_name_H-M_alt 'I m a 2'
_space_group_IT_number 46
loop_
_space_group_symop_operation_xyz
'x,y,z'
'-x,-y,z'
'-x+1/2,y,z'
'x+1/2,-y,z'
'x+1/2,y+1/2,z+1/2'
'-x+1/2,-y+1/2,z+1/2'
'-x,y+1/2,z+1/2'
'x,-y+1/2,z+1/2'
loop_
_atom_site_label
_atom_site_fract_x
_atom_site_fract_y
_atom_site_fract_z
Pm1 0.053 0.250 0.000
Pm2 0.143 0.734 0.329
Pm3 0.250 0.242 0.299
Pr1 0.126 0.503 0.649
Dy1 0.000 0.000 0.679
Dy2 0.250 0.508 0.110

Model Q:
# Pm5Pr2Dy2 | Alexandria | PBE-GGA | relaxed
# Volume: 34.5 Å³/atom
data_Pm5Pr2Dy2
_chemical_formula_sum 'Pm10 Pr4 Dy4'
_cell_length_a 19.590
_cell_length_b 3.559
_cell_length_c 9.014
_cell_angle_alpha 90.00
_cell_angle_beta 98.68
_cell_angle_gamma 90.00
_space_group_name_H-M_alt 'C 1 2/m 1'
_space_group_IT_number 12
loop_
_space_group_symop_operation_xyz
'x,y,z'
'-x,-y,-z'
'-x,y,-z'
'x,-y,z'
'x+1/2,y+1/2,z'
'-x+1/2,-y+1/2,-z'
'-x+1/2,y+1/2,-z'
'x+1/2,-y+1/2,z'
loop_
_atom_site_label
_atom_site_fract_x
_atom_site_fract_y
_atom_site_fract_z
Pm1 0.000 0.000 0.000
Pm2 0.100 0.000 0.356
Pm3 0.235 0.000 0.669
Pr1 0.070 0.500 0.694
Dy1 0.177 0.000 0.017

Most stable structure among those shown: model Q.